Computed, not measured: a crystal of MgPtSe relaxed with PBEsol at the SCAN level of DFT.

Summary:
* formation energy without anion corrections: -0.435 eV/atom

Unit cell a=3.5730 b=3.5730 c=4.7826 alpha=111.93 beta=111.93 gamma=90.00
Last column: nearest neighbours and their distance in Å.
Atoms (fractional coordinates):
Mg (0.9960, 0.9960, 0.9919)  5 Se 2.76-2.84, 5 Pt 2.80-2.86
Se (0.6561, 0.6561, 0.3121)  1 Pt 2.50, 1 Mg 2.76
Pt (0.3480, 0.3480, 0.6960)  1 Se 2.50, 4 Mg 2.80

Computed, not measured: a crystal of MgPtSe2 relaxed with PBEsol at the SCAN level of DFT.

Summary:
* formation energy without anion corrections: -0.237 eV/atom

Unit cell a=3.5417 b=3.5417 c=8.1898 alpha=77.51 beta=77.51 gamma=60.00
Last column: nearest neighbours and their distance in Å.
Atoms (fractional coordinates):
Mg (0.5000, 0.5000, 0.5000)  6 Se 2.62
Se (0.9023, 0.9023, 0.2931)  1 Pt 2.32
Se (0.0977, 0.0977, 0.7069)  1 Pt 2.32
Pt (0.0000, 0.0000, 0.0000)  2 Se 2.32

Computed, not measured: a crystal of MgPtSe4 relaxed with PBEsol at the SCAN level of DFT.

Summary:
* formation energy without anion corrections: 0.680 eV/atom

Unit cell a=5.5417 b=5.5417 c=5.5417 alpha=60.00 beta=60.00 gamma=60.00
Last column: nearest neighbours and their distance in Å.
Atoms (fractional coordinates):
Mg (0.7500, 0.7500, 0.7500)  12 Se 3.25, 4 Pt 3.39
Pt (0.0000, 0.0000, 0.0000)  12 Se 3.25, 4 Mg 3.39
Se (0.3738, 0.3738, 0.3738)  6 Se 2.74-2.80
Se (0.3738, 0.3738, 0.8786)  6 Se 2.74-2.80
Se (0.8786, 0.3738, 0.3738)  6 Se 2.74-2.80
Se (0.3738, 0.8786, 0.3738)  6 Se 2.74-2.80

Computed, not measured: a crystal of Mg2PtSe relaxed with PBEsol at the SCAN level of DFT.

Summary:
* formation energy without anion corrections: -0.774 eV/atom

Unit cell a=3.3239 b=4.5556 c=4.5556 alpha=90.00 beta=90.00 gamma=90.00
Last column: nearest neighbours and their distance in Å.
Atoms (fractional coordinates):
Mg (0.0000, 0.0000, 0.5000)  4 Pt 2.82, 4 Se 2.82
Mg (0.0000, 0.5000, 0.0000)  4 Se 2.82, 4 Pt 2.82
Pt (0.5000, 0.5000, 0.5000)  8 Mg 2.82
Se (0.5000, 0.0000, 0.0000)  8 Mg 2.82